# LaZn2Br, optimized geometry, DFT PBE-GGA
# offset from the most stable computed form = 173 meV/atom
# raw total energy = -2.7255 eV/atom
# formation energy from raw total energies = -0.44 eV per atom
data_LaZn2Br
_cell_length_a 7.221
_cell_length_b 7.221
_cell_length_c 7.221
_cell_angle_alpha 90.00
_cell_angle_beta 90.00
_cell_angle_gamma 90.00
_space_group_name_H-M_alt 'F -4 3 m'
_space_group_IT_number 216
_space_group_name_Hall 'F -4 2 3'
loop_
_atom_site_label
_atom_site_type_symbol
_atom_site_fract_x
_atom_site_fract_y
_atom_site_fract_z
_atom_site_occupancy
La1 La 0.000 0.000 0.000 1
Zn1 Zn 0.000 0.000 0.500 1
Zn2 Zn 0.250 0.250 0.750 1
Br1 Br 0.250 0.250 0.250 1


# La4ZnBr, optimized geometry, DFT PBE-GGA
# raw total energy = -3.5959 eV/atom
# formation energy from raw total energies = 0.18 eV per atom
data_La4ZnBr
_cell_length_a 9.194
_cell_length_b 9.194
_cell_length_c 9.194
_cell_angle_alpha 90.00
_cell_angle_beta 90.00
_cell_angle_gamma 90.00
_space_group_name_H-M_alt 'F -4 3 m'
_space_group_IT_number 216
_space_group_name_Hall 'F -4 2 3'
loop_
_atom_site_label
_atom_site_type_symbol
_atom_site_fract_x
_atom_site_fract_y
_atom_site_fract_z
_atom_site_occupancy
La1 La 0.122 0.122 0.122 1
Zn1 Zn 0.250 0.250 0.750 1
Br1 Br 0.000 0.000 0.500 1


# LaZn2Br, optimized geometry, DFT PBE-GGA
# offset from the most stable computed form = 128 meV/atom
# raw total energy = -2.7706 eV/atom
# formation energy from raw total energies = -0.48 eV per atom
data_LaZn2Br
_cell_length_a 4.151
_cell_length_b 4.210
_cell_length_c 11.196
_cell_angle_alpha 90.00
_cell_angle_beta 90.00
_cell_angle_gamma 90.00
_space_group_name_H-M_alt 'I m m m'
_space_group_IT_number 71
_space_group_name_Hall '-I 2 2'
loop_
_atom_site_label
_atom_site_type_symbol
_atom_site_fract_x
_atom_site_fract_y
_atom_site_fract_z
_atom_site_occupancy
La1 La 0.000 0.000 0.000 1
Zn1 Zn 0.000 0.500 0.251 1
Br1 Br 0.000 0.000 0.500 1


# LaZn2Br, optimized geometry, DFT PBE-GGA
# offset from the most stable computed form = 148 meV/atom
# raw total energy = -2.7498 eV/atom
# formation energy from raw total energies = -0.46 eV per atom
data_LaZn2Br
_cell_length_a 4.649
_cell_length_b 4.649
_cell_length_c 8.967
_cell_angle_alpha 90.00
_cell_angle_beta 90.00
_cell_angle_gamma 90.00
_space_group_name_H-M_alt 'I -4 m 2'
_space_group_IT_number 119
_space_group_name_Hall 'I -4 -2'
loop_
_atom_site_label
_atom_site_type_symbol
_atom_site_fract_x
_atom_site_fract_y
_atom_site_fract_z
_atom_site_occupancy
La1 La 0.000 0.000 0.000 1
Zn1 Zn 0.000 0.000 0.500 1
Zn2 Zn 0.000 0.500 0.750 1
Br1 Br 0.000 0.500 0.250 1


# La2ZnBr, optimized geometry, DFT PBE-GGA
# offset from the most stable computed form = 54 meV/atom
# raw total energy = -3.9559 eV/atom
# formation energy from raw total energies = -0.76 eV per atom
data_La2ZnBr
_cell_length_a 7.552
_cell_length_b 4.353
_cell_length_c 7.760
_cell_angle_alpha 90.00
_cell_angle_beta 108.81
_cell_angle_gamma 90.00
_space_group_name_H-M_alt 'C 1 2/m 1'
_space_group_IT_number 12
loop_
_space_group_symop_operation_xyz
'x,y,z'
'-x,-y,-z'
'-x,y,-z'
'x,-y,z'
'x+1/2,y+1/2,z'
'-x+1/2,-y+1/2,-z'
'-x+1/2,y+1/2,-z'
'x+1/2,-y+1/2,z'
loop_
_atom_site_label
_atom_site_type_symbol
_atom_site_fract_x
_atom_site_fract_y
_atom_site_fract_z
_atom_site_occupancy
La1 La 0.248 0.000 0.244 1
Zn1 Zn 0.000 0.500 0.000 1
Br1 Br 0.000 0.000 0.500 1


# LaZn2Br, optimized geometry, DFT PBE-GGA
# offset from the most stable computed form = 215 meV/atom
# raw total energy = -2.6832 eV/atom
# formation energy from raw total energies = -0.40 eV per atom
data_LaZn2Br
_cell_length_a 5.864
_cell_length_b 9.534
_cell_length_c 3.782
_cell_angle_alpha 90.00
_cell_angle_beta 90.35
_cell_angle_gamma 90.00
_space_group_name_H-M_alt 'C 1 2/m 1'
_space_group_IT_number 12
loop_
_space_group_symop_operation_xyz
'x,y,z'
'-x,-y,-z'
'-x,y,-z'
'x,-y,z'
'x+1/2,y+1/2,z'
'-x+1/2,-y+1/2,-z'
'-x+1/2,y+1/2,-z'
'x+1/2,-y+1/2,z'
loop_
_atom_site_label
_atom_site_type_symbol
_atom_site_fract_x
_atom_site_fract_y
_atom_site_fract_z
_atom_site_occupancy
La1 La 0.000 0.000 0.000 1
Zn1 Zn 0.250 0.250 0.500 1
Br1 Br 0.000 0.500 0.000 1


# La2ZnBr, optimized geometry, DFT PBE-GGA
# offset from the most stable computed form = 0 meV/atom
# raw total energy = -4.0104 eV/atom
# formation energy from raw total energies = -0.81 eV per atom
data_La2ZnBr
_cell_length_a 4.699
_cell_length_b 4.017
_cell_length_c 6.222
_cell_angle_alpha 90.00
_cell_angle_beta 90.06
_cell_angle_gamma 90.00
_space_group_name_H-M_alt 'P 1 2/m 1'
_space_group_IT_number 10
loop_
_space_group_symop_operation_xyz
'x,y,z'
'-x,-y,-z'
'-x,y,-z'
'x,-y,z'
loop_
_atom_site_label
_atom_site_type_symbol
_atom_site_fract_x
_atom_site_fract_y
_atom_site_fract_z
_atom_site_occupancy
La1 La 0.000 0.000 0.000 1
La2 La 0.500 0.500 0.500 1
Zn1 Zn 0.000 0.000 0.500 1
Br1 Br 0.500 0.500 0.000 1


# LaZn2Br, optimized geometry, DFT PBE-GGA
# offset from the most stable computed form = 82 meV/atom
# raw total energy = -2.8162 eV/atom
# formation energy from raw total energies = -0.53 eV per atom
data_LaZn2Br
_cell_length_a 3.672
_cell_length_b 3.672
_cell_length_c 7.616
_cell_angle_alpha 90.00
_cell_angle_beta 90.00
_cell_angle_gamma 90.00
_space_group_name_H-M_alt 'P 4 m m'
_space_group_IT_number 99
loop_
_space_group_symop_operation_xyz
'x,y,z'
'-y,x,z'
'-x,-y,z'
'y,-x,z'
'-x,y,z'
'y,x,z'
'x,-y,z'
'-y,-x,z'
loop_
_atom_site_label
_atom_site_type_symbol
_atom_site_fract_x
_atom_site_fract_y
_atom_site_fract_z
_atom_site_occupancy
La1 La 0.000 0.000 0.000 1
Zn1 Zn 0.000 0.000 0.392 1
Zn2 Zn 0.500 0.500 0.259 1
Br1 Br 0.500 0.500 0.751 1


Question: The lowest formation energy from raw total energies belongs to which entry?
Answer: number 7


Question: The highest formation energy from raw total energies belongs to which entry?
Answer: La4ZnBr


Question: The highest raw total energy belongs to which entry?
Answer: number 6


Question: formation energy from raw total energies of number 6 (LaZn2Br)?
Answer: -0.40 eV per atom